A relaxed structure of FeTe2NO, computed with PBE with a Hubbard U.

Cell: 4.6929 4.6929 4.0300 Å, 90.00 90.00 90.00°
Closest atoms and distances in Å follow each position.
Space group P4/mmm (No. 123)
Asymmetric unit:
Fe: 0.0000 0.0000 0.0000  8 Te 3.09, 4 N 3.32
Te: 0.0000 0.5000 0.5000  2 O 2.35
N: 0.5000 0.5000 0.0000  2 O 2.01
O: 0.5000 0.5000 0.5000  2 N 2.01

Values from the calculation:
density = 6.4 g/cm³
raw total energy = -3.88 eV/atom
calculated volume = 17.75 Å³ per atom